! K3Nd2PaS6 | Alexandria via LeMat-Bulk | GGA-PBE | relaxed; values from VASP
&SYSTEM
  ibrav = 0, nat = 12, ntyp = 4
/
ATOMIC_SPECIES
K 39.10 K.upf
Nd 144.24 Nd.upf
Pa 231.04 Pa.upf
S 32.06 S.upf
CELL_PARAMETERS angstrom
3.580 -6.200 0.000
3.580 6.200 0.000
-2.390 0.000 7.420
ATOMIC_POSITIONS angstrom
K 0.000 0.000 0.000
K 3.580 2.099 0.000
K 3.580 -2.099 0.000
Nd 2.385 4.136 3.710
Nd 2.385 -4.136 3.710
Pa 2.385 0.000 3.710
S 1.238 1.989 2.166
S 0.091 0.000 5.255
S 1.238 -1.989 2.166
S 3.533 1.989 5.254
S 4.679 0.000 2.166
S 3.533 -1.989 5.254
! - magnetic moment (μB per formula unit) = 1.67
! - E_form (uncorrected) (eV per formula unit) = -20.58


! K3Nd3PaS8 | Alexandria via LeMat-Bulk | GGA-PBE | relaxed; values from VASP
&SYSTEM
  ibrav = 0, nat = 15, ntyp = 4
/
ATOMIC_SPECIES
K 39.10 K.upf
Nd 144.24 Nd.upf
Pa 231.04 Pa.upf
S 32.06 S.upf
CELL_PARAMETERS angstrom
4.163 2.403 7.485
-4.163 2.403 7.485
0.000 -4.807 7.485
ATOMIC_POSITIONS angstrom
K -2.081 -1.202 7.485
K -2.081 1.202 14.971
K 0.000 2.403 7.485
Nd -4.163 0.000 11.228
Nd -2.081 1.202 3.743
Nd 2.081 1.202 3.743
Pa 0.000 0.000 11.228
S 0.000 0.000 5.293
S -1.996 -1.153 12.708
S 0.000 -2.305 9.748
S -1.996 1.153 9.748
S 1.996 -1.153 12.708
S 0.000 2.305 12.708
S 1.996 1.153 9.748
S 0.000 0.000 17.163
! - magnetic moment (μB per formula unit) = 1.04
! - E_form (uncorrected) (eV per formula unit) = -27.07


! KNd2PaS5 | Alexandria via LeMat-Bulk | GGA-PBE | relaxed; values from VASP
&SYSTEM
  ibrav = 0, nat = 9, ntyp = 4
/
ATOMIC_SPECIES
K 39.10 K.upf
Nd 144.24 Nd.upf
Pa 231.04 Pa.upf
S 32.06 S.upf
CELL_PARAMETERS angstrom
-2.535 3.618 6.930
2.535 -3.618 6.930
2.535 3.618 -6.930
ATOMIC_POSITIONS angstrom
K 0.000 0.000 0.000
Nd 2.535 0.000 4.110
Nd 0.000 3.618 2.820
Pa 0.000 0.000 6.930
S 2.535 1.897 -2.064
S 2.535 1.897 2.064
S 0.000 3.618 0.000
S 0.000 1.721 4.866
S 0.000 1.721 8.994
! - magnetic moment (μB per formula unit) = 0.05
! - E_form (uncorrected) (eV per formula unit) = -15.37


! K4NdPa3Se8 | Alexandria via LeMat-Bulk | GGA-PBE | relaxed; values from VASP
&SYSTEM
  ibrav = 0, nat = 16, ntyp = 4
/
ATOMIC_SPECIES
K 39.10 K.upf
Nd 144.24 Nd.upf
Pa 231.04 Pa.upf
Se 78.96 Se.upf
CELL_PARAMETERS angstrom
4.204 2.427 7.839
-4.204 2.427 7.839
0.000 -4.854 7.839
ATOMIC_POSITIONS angstrom
K 0.000 0.000 0.000
K -2.102 -1.214 7.839
K -2.102 1.214 15.678
K 0.000 2.427 7.839
Nd 0.000 0.000 11.758
Pa -4.204 0.000 11.758
Pa -2.102 1.214 3.919
Pa 2.102 1.214 3.919
Se -2.146 -1.239 13.427
Se 0.000 0.000 5.580
Se 0.000 -2.478 10.089
Se -2.146 1.239 10.089
Se 2.146 -1.239 13.427
Se 0.000 2.478 13.427
Se 0.000 0.000 17.937
Se 2.146 1.239 10.089
! - magnetic moment (μB per formula unit) = 5.86
! - E_form (uncorrected) (eV per formula unit) = -22.65


! KNd2PaSe5 | Alexandria via LeMat-Bulk | GGA-PBE | relaxed; values from VASP
&SYSTEM
  ibrav = 0, nat = 9, ntyp = 4
/
ATOMIC_SPECIES
K 39.10 K.upf
Nd 144.24 Nd.upf
Pa 231.04 Pa.upf
Se 78.96 Se.upf
CELL_PARAMETERS angstrom
-2.656 3.772 7.238
2.656 -3.772 7.238
2.656 3.772 -7.238
ATOMIC_POSITIONS angstrom
K 0.000 0.000 0.000
Nd 2.656 0.000 4.312
Nd 0.000 3.772 2.926
Pa 0.000 0.000 7.238
Se 2.656 1.958 -2.161
Se 2.656 1.958 2.161
Se 0.000 3.772 0.000
Se 0.000 1.814 5.076
Se 0.000 1.814 9.399
! - magnetic moment (μB per formula unit) = 0.45
! - E_form (uncorrected) (eV per formula unit) = -13.66


! K4Nd3PaSe8 | Alexandria via LeMat-Bulk | GGA-PBE | relaxed; values from VASP
&SYSTEM
  ibrav = 0, nat = 16, ntyp = 4
/
ATOMIC_SPECIES
K 39.10 K.upf
Nd 144.24 Nd.upf
Pa 231.04 Pa.upf
Se 78.96 Se.upf
CELL_PARAMETERS angstrom
4.314 2.491 7.722
-4.314 2.491 7.722
0.000 -4.981 7.722
ATOMIC_POSITIONS angstrom
K 0.000 0.000 0.000
K -2.157 -1.245 7.722
K -2.157 1.245 15.444
K 0.000 2.491 7.722
Nd -4.314 0.000 11.583
Nd -2.157 1.245 3.861
Nd 2.157 1.245 3.861
Pa 0.000 0.000 11.583
Se 0.000 0.000 5.514
Se -2.104 -1.215 13.211
Se 0.000 -2.429 9.954
Se -2.104 1.215 9.954
Se 2.104 -1.215 13.211
Se 0.000 2.429 13.211
Se 2.104 1.215 9.954
Se 0.000 0.000 17.652
! - magnetic moment (μB per formula unit) = 1.82
! - E_form (uncorrected) (eV per formula unit) = -26.12


! K3Nd3PaTe8 | Alexandria via LeMat-Bulk | GGA-PBE | relaxed; values from VASP
&SYSTEM
  ibrav = 0, nat = 15, ntyp = 4
/
ATOMIC_SPECIES
K 39.10 K.upf
Nd 144.24 Nd.upf
Pa 231.04 Pa.upf
Te 127.60 Te.upf
CELL_PARAMETERS angstrom
4.569 2.638 8.387
-4.569 2.638 8.387
0.000 -5.276 8.387
ATOMIC_POSITIONS angstrom
K -2.284 -1.319 8.387
K -2.284 1.319 16.774
K 0.000 2.638 8.387
Nd -4.569 0.000 12.580
Nd -2.284 1.319 4.193
Nd 2.284 1.319 4.193
Pa 0.000 0.000 12.580
Te 0.000 0.000 5.996
Te -2.233 -1.289 14.330
Te 0.000 -2.579 10.831
Te -2.233 1.289 10.831
Te 2.233 -1.289 14.330
Te 0.000 2.579 14.330
Te 2.233 1.289 10.831
Te 0.000 0.000 19.165
! - magnetic moment (μB per formula unit) = 1.03
! - E_form (uncorrected) (eV per formula unit) = -19.38


! K3Nd2PaTe6 | Alexandria via LeMat-Bulk | GGA-PBE | relaxed; values from VASP
&SYSTEM
  ibrav = 0, nat = 12, ntyp = 4
/
ATOMIC_SPECIES
K 39.10 K.upf
Nd 144.24 Nd.upf
Pa 231.04 Pa.upf
Te 127.60 Te.upf
CELL_PARAMETERS angstrom
3.946 -6.834 0.000
3.946 6.834 0.000
-2.631 0.000 8.311
ATOMIC_POSITIONS angstrom
K 0.000 0.000 0.000
K 3.946 2.312 0.000
K 3.946 -2.312 0.000
Nd 2.631 4.561 4.156
Nd 2.631 -4.561 4.156
Pa 2.631 0.000 4.156
Te 1.345 2.228 2.368
Te 0.061 0.000 5.949
Te 1.345 -2.228 2.368
Te 3.916 2.228 5.943
Te 5.200 0.000 2.362
Te 3.916 -2.228 5.943
! - magnetic moment (μB per formula unit) = 1.88
! - E_form (uncorrected) (eV per formula unit) = -14.87


! K3NdPa2Te6 | Alexandria via LeMat-Bulk | GGA-PBE | relaxed; values from VASP
&SYSTEM
  ibrav = 0, nat = 12, ntyp = 4
/
ATOMIC_SPECIES
K 39.10 K.upf
Nd 144.24 Nd.upf
Pa 231.04 Pa.upf
Te 127.60 Te.upf
CELL_PARAMETERS angstrom
3.878 -6.719 0.000
3.878 6.719 0.000
-2.587 0.000 8.415
ATOMIC_POSITIONS angstrom
K 0.000 0.000 0.000
K 3.878 2.204 0.000
K 3.878 -2.204 0.000
Nd 2.585 0.000 4.207
Pa 2.585 4.473 4.207
Pa 2.585 -4.473 4.207
Te 1.265 2.284 2.389
Te -0.056 0.000 6.017
Te 1.265 -2.284 2.389
Te 3.905 2.284 6.026
Te 5.225 0.000 2.398
Te 3.905 -2.284 6.026
! - magnetic moment (μB per formula unit) = 3.89
! - E_form (uncorrected) (eV per formula unit) = -12.94


! K2NdPa2Te6 | Alexandria via LeMat-Bulk | GGA-PBE | relaxed; values from VASP
&SYSTEM
  ibrav = 0, nat = 11, ntyp = 4
/
ATOMIC_SPECIES
K 39.10 K.upf
Nd 144.24 Nd.upf
Pa 231.04 Pa.upf
Te 127.60 Te.upf
CELL_PARAMETERS angstrom
3.839 -6.678 0.000
3.839 6.678 0.000
-2.511 0.000 8.531
ATOMIC_POSITIONS angstrom
K 3.839 4.492 0.000
K 3.839 -4.492 0.000
Nd -1.256 0.000 4.266
Pa 2.583 2.224 4.266
Pa 2.583 -2.224 4.266
Te 0.060 2.276 6.070
Te 1.392 0.000 2.456
Te 0.060 -2.276 6.070
Te 5.106 2.276 2.461
Te 3.774 0.000 6.076
Te 5.106 -2.276 2.461
! - magnetic moment (μB per formula unit) = 3.04
! - E_form (uncorrected) (eV per formula unit) = -11.80


! K4NdPa3Te8 | Alexandria via LeMat-Bulk | GGA-PBE | relaxed; values from VASP
&SYSTEM
  ibrav = 0, nat = 16, ntyp = 4
/
ATOMIC_SPECIES
K 39.10 K.upf
Nd 144.24 Nd.upf
Pa 231.04 Pa.upf
Te 127.60 Te.upf
CELL_PARAMETERS angstrom
4.458 2.574 8.441
-4.458 2.574 8.441
0.000 -5.148 8.441
ATOMIC_POSITIONS angstrom
K 0.000 0.000 0.000
K -2.229 -1.287 8.441
K -2.229 1.287 16.882
K 0.000 2.574 8.441
Nd 0.000 0.000 12.662
Pa -4.458 0.000 12.662
Pa -2.229 1.287 4.221
Pa 2.229 1.287 4.221
Te -2.265 -1.308 14.486
Te 0.000 0.000 6.036
Te 0.000 -2.616 10.837
Te -2.265 1.308 10.837
Te 2.265 -1.308 14.486
Te 0.000 2.616 14.486
Te 0.000 0.000 19.287
Te 2.265 1.308 10.837
! - magnetic moment (μB per formula unit) = 5.87
! - E_form (uncorrected) (eV per formula unit) = -16.61


! K4Nd3PaTe8 | Alexandria via LeMat-Bulk | GGA-PBE | relaxed; values from VASP
&SYSTEM
  ibrav = 0, nat = 16, ntyp = 4
/
ATOMIC_SPECIES
K 39.10 K.upf
Nd 144.24 Nd.upf
Pa 231.04 Pa.upf
Te 127.60 Te.upf
CELL_PARAMETERS angstrom
4.573 2.640 8.301
-4.573 2.640 8.301
0.000 -5.281 8.301
ATOMIC_POSITIONS angstrom
K 0.000 0.000 0.000
K -2.287 -1.320 8.301
K -2.287 1.320 16.602
K 0.000 2.640 8.301
Nd -4.573 0.000 12.452
Nd -2.287 1.320 4.151
Nd 2.287 1.320 4.151
Pa 0.000 0.000 12.452
Te 0.000 0.000 5.951
Te -2.244 -1.295 14.235
Te 0.000 -2.591 10.669
Te -2.244 1.295 10.669
Te 2.244 -1.295 14.235
Te 0.000 2.591 14.235
Te 2.244 1.295 10.669
Te 0.000 0.000 18.952
! - magnetic moment (μB per formula unit) = 1.85
! - E_form (uncorrected) (eV per formula unit) = -20.53


! K2NdPaTe4 | Alexandria via LeMat-Bulk | GGA-PBE | relaxed; values from VASP
&SYSTEM
  ibrav = 0, nat = 8, ntyp = 4
/
ATOMIC_SPECIES
K 39.10 K.upf
Nd 144.24 Nd.upf
Pa 231.04 Pa.upf
Te 127.60 Te.upf
CELL_PARAMETERS angstrom
7.850 0.000 0.000
0.000 4.504 0.000
-2.584 0.000 8.359
ATOMIC_POSITIONS angstrom
K 0.000 0.000 0.000
K 3.925 2.252 0.000
Nd -1.292 2.252 4.179
Pa 2.633 0.000 4.179
Te 0.076 0.000 5.987
Te 1.360 2.252 2.385
Te 3.907 2.252 5.973
Te 5.191 0.000 2.372
! - magnetic moment (μB per formula unit) = 1.94
! - E_form (uncorrected) (eV per formula unit) = -9.25


! KNdPb2 | Alexandria via LeMat-Bulk | GGA-PBE | relaxed; values from VASP
&SYSTEM
  ibrav = 0, nat = 4, ntyp = 3
/
ATOMIC_SPECIES
K 39.10 K.upf
Nd 144.24 Nd.upf
Pb 207.20 Pb.upf
CELL_PARAMETERS angstrom
1.877 1.084 11.252
-1.877 1.084 11.252
0.000 -2.168 11.252
ATOMIC_POSITIONS angstrom
K 0.000 0.000 0.000
Nd 0.000 0.000 16.878
Pb 0.000 0.000 8.284
Pb 0.000 0.000 25.471
! - magnetic moment (μB per formula unit) = 0.00
! - relative energy among the computed polymorphs (meV/atom) = 141.3
! - calculated formation energy (eV/atom) = -0.178


! KNdPb4 | Alexandria via LeMat-Bulk | GGA-PBE | relaxed; values from VASP
&SYSTEM
  ibrav = 0, nat = 6, ntyp = 3
/
ATOMIC_SPECIES
K 39.10 K.upf
Nd 144.24 Nd.upf
Pb 207.20 Pb.upf
CELL_PARAMETERS angstrom
0.000 4.643 4.643
4.643 0.000 4.643
4.643 4.643 0.000
ATOMIC_POSITIONS angstrom
K 0.000 0.000 0.000
Nd 6.964 6.964 6.964
Pb 3.493 3.493 3.493
Pb 5.793 5.793 3.493
Pb 5.793 3.493 5.793
Pb 3.493 5.793 5.793
! - magnetic moment (μB per formula unit) = 0.00
! - calculated formation energy (eV/atom) = -0.187


! KNdPb2 | Alexandria via LeMat-Bulk | GGA-PBE | relaxed; values from VASP
&SYSTEM
  ibrav = 0, nat = 4, ntyp = 3
/
ATOMIC_SPECIES
K 39.10 K.upf
Nd 144.24 Nd.upf
Pb 207.20 Pb.upf
CELL_PARAMETERS angstrom
5.899 0.000 0.000
0.000 5.899 0.000
0.000 0.000 3.763
ATOMIC_POSITIONS angstrom
K 0.000 0.000 0.000
Nd 2.949 2.949 0.000
Pb 0.000 2.949 1.882
Pb 2.949 0.000 1.882
! - magnetic moment (μB per formula unit) = 0.00
! - relative energy among the computed polymorphs (meV/atom) = 86.0
! - calculated formation energy (eV/atom) = -0.234


! KNdPb2 | Alexandria via LeMat-Bulk | GGA-PBE | relaxed; values from VASP
&SYSTEM
  ibrav = 0, nat = 4, ntyp = 3
/
ATOMIC_SPECIES
K 39.10 K.upf
Nd 144.24 Nd.upf
Pb 207.20 Pb.upf
CELL_PARAMETERS angstrom
4.240 0.000 0.000
0.000 4.240 0.000
0.000 0.000 7.996
ATOMIC_POSITIONS angstrom
K 0.000 0.000 0.000
Nd 0.000 0.000 3.998
Pb 2.120 2.120 2.420
Pb 2.120 2.120 5.576
! - magnetic moment (μB per formula unit) = 0.00
! - relative energy among the computed polymorphs (meV/atom) = 0.0
! - calculated formation energy (eV/atom) = -0.320


! KNd2Pb3S6 | Alexandria via LeMat-Bulk | GGA-PBE | relaxed; values from VASP
&SYSTEM
  ibrav = 0, nat = 12, ntyp = 4
/
ATOMIC_SPECIES
K 39.10 K.upf
Nd 144.24 Nd.upf
Pb 207.20 Pb.upf
S 32.06 S.upf
CELL_PARAMETERS angstrom
9.143 -2.043 0.000
9.143 2.043 0.000
-1.969 0.000 8.892
ATOMIC_POSITIONS angstrom
K 0.000 0.000 0.000
Nd 4.780 0.000 5.946
Nd 11.537 0.000 2.946
Pb -0.985 0.000 4.446
Pb 5.883 0.000 1.495
Pb 10.435 0.000 7.397
S 2.015 0.000 4.931
S 3.051 0.000 1.074
S 7.498 0.000 6.488
S 8.819 0.000 2.405
S 13.266 0.000 7.818
S 14.303 0.000 3.962
! - magnetic moment (μB per formula unit) = 0.00
! - E_form (uncorrected) (eV per formula unit) = -13.82


! K3Nd2PbS6 | Alexandria via LeMat-Bulk | GGA-PBE | relaxed; values from VASP
&SYSTEM
  ibrav = 0, nat = 12, ntyp = 4
/
ATOMIC_SPECIES
K 39.10 K.upf
Nd 144.24 Nd.upf
Pb 207.20 Pb.upf
S 32.06 S.upf
CELL_PARAMETERS angstrom
3.632 -6.290 0.000
3.632 6.290 0.000
-2.418 0.000 7.415
ATOMIC_POSITIONS angstrom
K 0.000 0.000 0.000
K 3.632 2.067 0.000
K 3.632 -2.067 0.000
Nd 2.423 4.191 3.707
Nd 2.423 -4.191 3.707
Pb 2.423 0.000 3.707
S 1.198 2.120 2.153
S -0.026 0.000 5.258
S 1.198 -2.120 2.153
S 3.649 2.120 5.262
S 4.872 0.000 2.157
S 3.649 -2.120 5.262
! - magnetic moment (μB per formula unit) = 0.00
! - E_form (uncorrected) (eV per formula unit) = -17.25


! KNdPb2Se4 | Alexandria via LeMat-Bulk | GGA-PBE | relaxed; values from VASP
&SYSTEM
  ibrav = 0, nat = 8, ntyp = 4
/
ATOMIC_SPECIES
K 39.10 K.upf
Nd 144.24 Nd.upf
Pb 207.20 Pb.upf
Se 78.96 Se.upf
CELL_PARAMETERS angstrom
7.605 0.000 0.000
0.000 4.383 0.000
-2.421 0.000 7.258
ATOMIC_POSITIONS angstrom
K 0.000 0.000 0.000
Nd -1.210 2.191 3.629
Pb 2.592 0.000 3.629
Pb 3.803 2.191 0.000
Se 0.059 0.000 5.317
Se 1.256 2.191 1.962
Se 3.928 2.191 5.296
Se 5.125 0.000 1.941
! - magnetic moment (μB per formula unit) = 0.00
! - E_form (uncorrected) (eV per formula unit) = -8.73